BaPrB4: optimized geometry, PBE.

Size of the total moment   0.0 μB/cell
Polymorph energy (0 for the lowest one)   221.6 meV per atom
E   -5.47 eV/atom

Lattice parameters (Å, degrees): 3.3327 3.3327 9.0464 90.00 90.00 120.00
Fractional positions:
Ba 0.0000 0.0000 0.0000
Pr 0.0000 0.0000 0.5000
B 0.3333 0.6667 0.2718
B 0.3333 0.6667 0.7282
B 0.6667 0.3333 0.2718
B 0.6667 0.3333 0.7282